Compound: Li2AgTeS
Source: Alexandria via LeMat-Bulk
Functional: PBE-GGA
Structure: optimized geometry

For the calculated total energy, the calculation gives -17.0 eV/cell. Its mass density is 4.48 g cm⁻³. The value obtained for the energy relative to the elements, uncorrected is -0.61 eV per atom.

The space group is P4/mmm (No. 123) and the conventional cell measures 4.539, 4.539 and 5.068 Å, with angles of 90.00, 90.00 and 90.00 degrees. The asymmetric unit holds Li at (0.000, 0.500, 0.000), Ag at (0.000, 0.000, 0.500), Te at (0.500, 0.500, 0.500) and S at (0.000, 0.000, 0.000).

***

Compound: Li4Th3AgS8
Source: Alexandria via LeMat-Bulk
Functional: PBE-GGA
Structure: optimized geometry

For the calculated total energy, the calculation gives -268.4 eV/cell. Its mass density is 5.27 g cm⁻³. The value obtained for the energy relative to the elements, uncorrected is -1.48 eV per atom.

The space group is R-3m (No. 166, hexagonal axes) and the conventional cell measures 7.9778, 7.9778 and 18.6572 Å, with angles of 90.00, 90.00 and 120.00 degrees. The asymmetric unit holds Li at (0.0000, 0.0000, 0.0000), Li at (0.0000, 0.5000, 0.0000), Th at (0.0000, 0.5000, 0.5000), Ag at (0.0000, 0.0000, 0.5000), S at (0.0000, 0.0000, 0.2552) and S at (0.0070, 0.5035, 0.7473).

***

Compound: LiThAg2S4
Source: Alexandria via LeMat-Bulk
Functional: PBE-GGA
Structure: optimized geometry

For the calculated total energy, the calculation gives -77.5 eV/cell. Its mass density is 5.83 g cm⁻³. The value obtained for the energy relative to the elements, uncorrected is -0.90 eV per atom.

The space group is I-42m (No. 121) and the conventional cell measures 6.912, 6.912 and 6.955 Å, with angles of 90.00, 90.00 and 90.00 degrees. The asymmetric unit holds Li at (0.000, 0.000, 0.000), Th at (0.000, 0.000, 0.500), Ag at (0.000, 0.500, 0.250) and S at (0.200, 0.200, 0.787).

***

Compound: LiTl2AgS4
Source: Alexandria via LeMat-Bulk
Functional: PBE-GGA
Structure: optimized geometry

For the calculated total energy, the calculation gives -58.1 eV/cell. Its mass density is 5.35 g cm⁻³. The value obtained for the energy relative to the elements, uncorrected is -0.38 eV per atom.

The space group is I-42m (No. 121) and the conventional cell measures 5.842, 5.842 and 11.864 Å, with angles of 90.00, 90.00 and 90.00 degrees. The asymmetric unit holds Li at (0.000, 0.000, 0.000), Tl at (0.000, 0.500, 0.250), Ag at (0.000, 0.000, 0.500) and S at (0.242, 0.242, 0.881).

***

Compound: LiTlAgS2
Source: Alexandria via LeMat-Bulk
Functional: PBE-GGA
Structure: optimized geometry

For the calculated total energy, the calculation gives -70.0 eV/cell. Its mass density is 5.93 g cm⁻³. The value obtained for the energy relative to the elements, uncorrected is -0.42 eV per atom.

The space group is C2/m (No. 12) and the conventional cell measures 13.631, 4.147 and 9.822 Å, with angles of 90.00, 129.39 and 90.00 degrees. The asymmetric unit holds Li at (0.127, 0.000, 0.170), Tl at (0.074, 0.500, 0.418), Ag at (0.214, 0.500, 0.063), S at (0.066, 0.000, 0.864) and S at (0.239, 0.500, 0.338).

***

Compound: Li2UAg3S6
Source: Alexandria via LeMat-Bulk
Functional: PBE-GGA
Structure: optimized geometry

For the calculated total energy, the calculation gives -113.9 eV/cell. Its mass density is 5.53 g cm⁻³. The value obtained for the energy relative to the elements, uncorrected is -0.71 eV per atom.

The space group is C2/m (No. 12) and the conventional cell measures 6.709, 11.624 and 6.336 Å, with angles of 90.00, 111.02 and 90.00 degrees. The asymmetric unit holds Li at (0.000, 0.172, 0.000), U at (0.000, 0.500, 0.000), Ag at (0.000, 0.000, 0.500), Ag at (0.000, 0.350, 0.500), S at (0.235, 0.000, 0.207) and S at (0.235, 0.339, 0.252).